K3Y2PaTe6, relaxed, DFT PBE; formation energy (no corrections) = -1228.9 meV per atom; crystal system = monoclinic; DOS(E_F) = 9.957 states/eV per cell
1.0
3.879 -6.718 0.000
3.879 6.718 0.000
-2.586 0.000 8.311
K Y Pa Te
3 2 1 6
Direct
0.000 0.000 0.000
0.333 0.667 0.000
0.667 0.333 0.000
0.167 0.833 0.500
0.833 0.167 0.500
0.500 0.500 0.500
0.095 0.429 0.288
0.236 0.236 0.711
0.429 0.095 0.288
0.571 0.905 0.712
0.764 0.764 0.289
0.905 0.571 0.712

RbCd2Cl, relaxed, DFT PBE; formation energy (no corrections) = -536.1 meV per atom; crystal system = tetragonal; DOS(E_F) = 0.220 states/eV per cell; relative energy among the computed polymorphs = 0 kJ/mol of formula units
1.0
-4.900 4.900 3.097
4.900 -4.900 3.097
4.900 4.900 -3.097
Rb Cd Cl
2 4 2
Direct
0.000 0.000 0.000
0.750 0.250 0.500
0.159 0.125 0.534
0.375 0.841 0.966
0.591 0.625 0.466
0.875 0.409 0.034
0.250 0.750 0.500
0.500 0.500 0.000

Na4LiRu3O8, relaxed, DFT PBE; formation energy (no corrections) = -1279.2 meV per atom; crystal system = monoclinic; DOS(E_F) = 7.750 states/eV per cell
1.0
5.314 -3.054 0.000
5.314 3.054 0.000
-3.551 0.000 5.395
Na Li Ru O
4 1 3 8
Direct
0.000 0.000 0.000
0.000 0.500 0.000
0.500 0.000 0.000
0.500 0.500 0.000
0.000 0.000 0.500
0.000 0.500 0.500
0.500 0.000 0.500
0.500 0.500 0.500
0.241 0.723 0.705
0.242 0.242 0.706
0.263 0.263 0.288
0.277 0.759 0.295
0.723 0.241 0.705
0.737 0.737 0.712
0.758 0.758 0.294
0.759 0.277 0.295

HgH6Cl2O2, relaxed, DFT PBE; crystal system = triclinic; DOS(E_F) = 0.000 states/eV per cell
1.0
5.094 0.000 0.000
-0.002 6.312 0.000
-2.537 -3.092 5.974
Hg H Cl O
1 6 2 2
Direct
0.000 0.000 0.000
0.152 0.350 0.639
0.325 0.579 0.650
0.485 0.350 0.639
0.515 0.650 0.361
0.675 0.421 0.350
0.848 0.650 0.361
0.254 0.780 0.508
0.746 0.220 0.492
0.352 0.450 0.705
0.648 0.550 0.295

VASP energy across the listed records, respectively: -4.943, -1.697, -5.947, -3.884 eV per atom.